1.
Entry from the Alexandria database: a relaxed structure of YScPb (PBE-GGA). Values from VASP.

```
&SYSTEM
  ibrav = 0, nat = 6, ntyp = 3
/
ATOMIC_SPECIES
Y 88.91 Y.upf
Sc 44.96 Sc.upf
Pb 207.20 Pb.upf
ATOMIC_POSITIONS angstrom
Y 1.114 1.114 1.304
Y 3.341 3.341 6.949
Sc 1.114 3.341 4.127
Sc 3.341 1.114 4.127
Pb 1.114 1.114 6.333
Pb 3.341 3.341 1.921
CELL_PARAMETERS angstrom
4.455 0.000 0.000
0.000 4.455 0.000
0.000 0.000 8.254
```

Results
**Space group**: No. 129
**ΔE to the lowest computed polymorph**: 0.000 eV/atom
**Volume**: 163.8 Å³/cell
**E**: -5.98 eV per atom
**Formation energy**: -0.4814 eV/atom

***

2.
Entry from the Alexandria database: a relaxed structure of YScPb2 (PBE-GGA). Values from VASP.

```
&SYSTEM
  ibrav = 0, nat = 4, ntyp = 3
/
ATOMIC_SPECIES
Y 88.91 Y.upf
Sc 44.96 Sc.upf
Pb 207.20 Pb.upf
ATOMIC_POSITIONS angstrom
Y 0.000 0.000 0.000
Sc -0.457 2.575 3.001
Pb 1.846 2.575 0.099
Pb 1.309 0.000 2.902
CELL_PARAMETERS angstrom
3.633 0.000 0.000
0.000 5.151 0.000
-1.467 0.000 5.895
```

Results
**Space group**: No. 6
**Volume**: 110.3 Å³/cell
**E**: -5.43 eV per atom
**Formation energy**: -0.3733 eV/atom

***

3.
Entry from the Alexandria database: a relaxed structure of YScPb (PBE-GGA). Values from VASP.

```
&SYSTEM
  ibrav = 0, nat = 3, ntyp = 3
/
ATOMIC_SPECIES
Y 88.91 Y.upf
Sc 44.96 Sc.upf
Pb 207.20 Pb.upf
ATOMIC_POSITIONS angstrom
Y 0.000 0.000 0.000
Sc 0.000 2.893 1.917
Pb 2.506 1.447 1.879
CELL_PARAMETERS angstrom
5.011 0.000 0.000
-2.506 4.340 0.000
0.000 0.000 3.817
```

Results
**Space group**: No. 156
**ΔE to the lowest computed polymorph**: 0.227 eV/atom
**Volume**: 83.0 Å³/cell
**E**: -5.76 eV per atom
**Formation energy**: -0.2547 eV/atom

***

4.
Entry from the Alexandria database: a relaxed structure of YSc3Pb (PBE-GGA). Values from VASP.

```
&SYSTEM
  ibrav = 0, nat = 5, ntyp = 3
/
ATOMIC_SPECIES
Y 88.91 Y.upf
Sc 44.96 Sc.upf
Pb 207.20 Pb.upf
ATOMIC_POSITIONS angstrom
Y 0.000 0.000 0.000
Sc 0.000 0.000 2.643
Sc 0.000 2.643 0.000
Sc 2.643 0.000 0.000
Pb 2.643 2.643 2.643
CELL_PARAMETERS angstrom
5.287 0.000 0.000
0.000 5.287 0.000
0.000 0.000 5.287
```

Results
**Space group**: No. 221
**ΔE to the lowest computed polymorph**: 0.448 eV/atom
**Volume**: 147.8 Å³/cell
**E**: -4.97 eV per atom
**Formation energy**: 0.8608 eV/atom

***

What did the second record say?
Entry from the Alexandria database: a relaxed structure of YScPb2 (PBE-GGA). Values from VASP.

```
&SYSTEM
  ibrav = 0, nat = 4, ntyp = 3
/
ATOMIC_SPECIES
Y 88.91 Y.upf
Sc 44.96 Sc.upf
Pb 207.20 Pb.upf
ATOMIC_POSITIONS angstrom
Y 0.000 0.000 0.000
Sc -0.457 2.575 3.001
Pb 1.846 2.575 0.099
Pb 1.309 0.000 2.902
CELL_PARAMETERS angstrom
3.633 0.000 0.000
0.000 5.151 0.000
-1.467 0.000 5.895
```

Results
**Space group**: No. 6
**Volume**: 110.3 Å³/cell
**E**: -5.43 eV per atom
**Formation energy**: -0.3733 eV/atom